No. 1
Here is a relaxed Tb2Ho6Ga crystal from the Alexandria database. Energies are from PBE-GGA.

Cell: 9.705 9.705 3.505 Å, 90.05 90.05 56.49°
Element x y z (fractional)
Tb: 0.178 0.178 0.499
Tb: 0.822 0.822 0.501
Ho: 0.166 0.511 0.000
Ho: 0.217 0.783 0.500
Ho: 0.489 0.834 0.000
Ho: 0.511 0.166 0.000
Ho: 0.783 0.217 0.500
Ho: 0.834 0.489 0.000
Ga: 0.500 0.500 0.000

Calculated values
Electronic total energy (eV per atom): -4.395
ρ (Mg/m³): 8.31
DOS at the Fermi energy (states/eV/f.u.): 11.9
Total magnetization (μB per formula unit): 0.00
DFT formation energy (eV per atom): 0.022

---

No. 2
Here is a relaxed Be2AlRe crystal from the Alexandria database. Energies are from PBE-GGA.

Cell: 2.625 2.625 7.654 Å, 90.00 90.00 110.12°
Element x y z (fractional)
Be: 0.000 0.000 0.000
Be: 0.500 0.500 0.215
Al: 0.000 0.000 0.471
Re: 0.500 0.500 0.755

Calculated values
Electronic total energy (eV per atom): -5.640
ρ (Mg/m³): 7.75
DOS at the Fermi energy (states/eV/f.u.): 1.4
Total magnetization (μB per formula unit): 0.00
DFT formation energy (eV per atom): 0.271

---

No. 3
Here is a relaxed LiErNbIr crystal from the Alexandria database. Energies are from PBE-GGA.

Cell: 4.674 4.674 4.674 Å, 60.00 60.00 60.00°
Element x y z (fractional)
Li: 0.000 0.000 0.000
Er: 0.750 0.750 0.750
Nb: 0.250 0.250 0.250
Ir: 0.500 0.500 0.500

Calculated values
Electronic total energy (eV per atom): -6.609
ρ (Mg/m³): 10.57
DOS at the Fermi energy (states/eV/f.u.): 2.4
Total magnetization (μB per formula unit): 0.00
DFT formation energy (eV per atom): -0.258

---

No. 4
Here is a relaxed La3CoSn crystal from the Alexandria database. Energies are from PBE-GGA.

Cell: 8.734 8.734 8.734 Å, 135.31 135.31 65.05°
Element x y z (fractional)
La: 0.163 0.163 0.000
La: 0.365 0.616 0.749
La: 0.384 0.132 0.749
La: 0.384 0.635 0.251
La: 0.837 0.837 0.000
La: 0.868 0.616 0.251
Co: 0.250 0.750 0.500
Co: 0.500 0.500 0.000
Sn: 0.609 0.109 0.500
Sn: 0.891 0.391 0.500

Calculated values
Electronic total energy (eV per atom): -5.142
Energy relative to the lowest polymorph listed for this composition (kcal/mol of atoms): 11.17
ρ (Mg/m³): 6.08
DOS at the Fermi energy (states/eV/f.u.): 4.7
Total magnetization (μB per formula unit): 0.20
DFT formation energy (eV per atom): 0.036

---

No. 5
Here is a relaxed K4Tm3PaSe8 crystal from the Alexandria database. Energies are from PBE-GGA.

Cell: 9.085 9.085 9.085 Å, 54.75 54.75 54.75°
Element x y z (fractional)
K: 0.000 0.000 0.000
K: 0.000 0.500 0.500
K: 0.500 0.000 0.500
K: 0.500 0.500 0.000
Tm: 0.000 0.000 0.500
Tm: 0.000 0.500 0.000
Tm: 0.500 0.000 0.000
Pa: 0.500 0.500 0.500
Se: 0.231 0.737 0.737
Se: 0.234 0.234 0.234
Se: 0.263 0.263 0.769
Se: 0.263 0.769 0.263
Se: 0.737 0.231 0.737
Se: 0.737 0.737 0.231
Se: 0.766 0.766 0.766
Se: 0.769 0.263 0.263

Calculated values
Electronic total energy (eV per atom): -5.067
ρ (Mg/m³): 5.44
DOS at the Fermi energy (states/eV/f.u.): 9.7
ΔE_f (raw) (eV/atom): -1.619
Total magnetization (μB per formula unit): 1.85

---

No. 6
Here is a relaxed Ba2NaPd crystal from the Alexandria database. Energies are from PBE-GGA.

Cell: 11.863 11.863 11.863 Å, 21.94 21.94 21.94°
Element x y z (fractional)
Ba: 0.115 0.115 0.115
Ba: 0.885 0.885 0.885
Na: 0.000 0.000 0.000
Pd: 0.500 0.500 0.500

Calculated values
Electronic total energy (eV per atom): -2.813
Energy relative to the lowest polymorph listed for this composition (kcal/mol of atoms): 1.51
ρ (Mg/m³): 3.28
DOS at the Fermi energy (states/eV/f.u.): 3.0
Total magnetization (μB per formula unit): 0.00
DFT formation energy (eV per atom): -0.224

---

No. 7
Here is a relaxed DyTlAu crystal from the Alexandria database. Energies are from PBE-GGA.

Cell: 5.105 5.105 6.365 Å, 90.00 90.00 120.00°
Element x y z (fractional)
Dy: 0.333 0.667 0.250
Dy: 0.667 0.333 0.750
Tl: 0.000 0.000 0.000
Tl: 0.000 0.000 0.500
Au: 0.333 0.667 0.750
Au: 0.667 0.333 0.250

Calculated values
Electronic total energy (eV per atom): -4.013
ρ (Mg/m³): 13.03
DOS at the Fermi energy (states/eV/f.u.): 0.9
Total magnetization (μB per formula unit): 0.00
DFT formation energy (eV per atom): -0.597

---

No. 8
Here is a relaxed Y7Ho4Er2 crystal from the Alexandria database. Energies are from PBE-GGA.

Cell: 6.071 6.071 13.186 Å, 90.00 90.00 120.00°
Element x y z (fractional)
Y: 0.000 0.000 0.000
Y: 0.000 0.358 0.217
Y: 0.000 0.642 0.783
Y: 0.358 0.000 0.217
Y: 0.358 0.358 0.783
Y: 0.642 0.000 0.783
Y: 0.642 0.642 0.217
Ho: 0.000 0.000 0.394
Ho: 0.000 0.000 0.606
Ho: 0.333 0.667 0.500
Ho: 0.667 0.333 0.500
Er: 0.333 0.667 0.000
Er: 0.667 0.333 0.000

Calculated values
Electronic total energy (eV per atom): -5.411
ρ (Mg/m³): 6.38
DOS at the Fermi energy (states/eV/f.u.): 18.3
Total magnetization (μB per formula unit): 0.00
DFT formation energy (eV per atom): 0.180

---

No. 9
Here is a relaxed LiMgPb2 crystal from the Alexandria database. Energies are from PBE-GGA.

Cell: 3.406 4.783 6.374 Å, 90.00 98.19 90.00°
Element x y z (fractional)
Li: 0.000 0.000 0.000
Mg: 0.500 0.000 0.500
Pb: 0.232 0.500 0.755
Pb: 0.768 0.500 0.245

Calculated values
Electronic total energy (eV per atom): -2.838
ρ (Mg/m³): 7.20
DOS at the Fermi energy (states/eV/f.u.): 1.1
Total magnetization (μB per formula unit): 0.00
DFT formation energy (eV per atom): -0.107

---

No. 10
Here is a relaxed ZnAsBr crystal from the Alexandria database. Energies are from PBE-GGA.

Cell: 4.221 4.221 4.813 Å, 90.00 90.00 120.00°
Element x y z (fractional)
Zn: 0.000 0.000 0.000
As: 0.667 0.333 0.004
Br: 0.333 0.667 0.503

Calculated values
Electronic total energy (eV per atom): -2.433
Energy relative to the lowest polymorph listed for this composition (kcal/mol of atoms): 7.94
ρ (Mg/m³): 4.93
DOS at the Fermi energy (states/eV/f.u.): 2.0
ΔE_f (raw) (eV/atom): 0.099
Total magnetization (μB per formula unit): 0.00

---

No. 11
Here is a relaxed NbTeMoN2 crystal from the Alexandria database. Energies are from PBE-GGA.

Cell: 3.977 3.977 5.611 Å, 90.00 90.00 90.00°
Element x y z (fractional)
Nb: 0.000 0.000 0.000
Te: 0.500 0.500 0.000
Mo: 0.500 0.500 0.500
N: 0.000 0.500 0.500
N: 0.500 0.000 0.500

Calculated values
Electronic total energy (eV per atom): -7.339
Energy relative to the lowest polymorph listed for this composition (kcal/mol of atoms): 0.00
ρ (Mg/m³): 6.45
DOS at the Fermi energy (states/eV/f.u.): 4.7
ΔE_f (raw) (eV/atom): 0.800
Total magnetization (μB per formula unit): 2.00